Entry 1:
Here is a relaxed structure of NiHgRh2 from Alexandria. Energies are from GGA-PBE.

Its total energy is -5.01 eV/atom. The value obtained for the magnetization is 0.78 μB per formula unit. Its formation energy from the elements is 0.19 eV/atom. Its density of states at the Fermi level is 1.563 states/eV per atom.

The space group is Pm (No. 6) and the conventional cell measures 2.829, 3.722 and 5.773 Å, with angles of 90.00, 90.18 and 90.00 degrees. The asymmetric unit holds Ni at (0.000, 0.000, 0.000), Hg at (0.500, 0.500, 0.736), Rh at (0.498, 0.500, 0.221) and Rh at (0.999, 0.000, 0.442).

***

Entry 2:
Here is a relaxed structure of MoSe3 from Alexandria. Energies are from GGA-PBE.

Its total energy is -5.55 eV/atom. The value obtained for the magnetization is 0.18 μB per formula unit. Its density of states at the Fermi level is 0.941 states/eV per atom.

The space group is P-6m2 (No. 187) and the conventional cell measures 3.2106, 3.2106 and 10.9076 Å, with angles of 90.00, 90.00 and 120.00 degrees. The asymmetric unit holds Mo at (0.0000, 0.0000, 0.0000), Se at (0.0000, 0.0000, 0.5000) and Se at (0.6667, 0.3333, 0.1578).

***

Entry 3:
Here is a relaxed structure of LiSmPt from Alexandria. Energies are from GGA-PBE.

Its total energy is -4.96 eV/atom. The value obtained for the magnetization is 0.00 μB per formula unit. Its formation energy from the elements is -0.73 eV/atom. Its density of states at the Fermi level is 0.447 states/eV per atom. As for the polymorph energy (0 for the lowest one): 109 meV per atom.

The space group is P-6m2 (No. 187) and the conventional cell measures 4.3048, 4.3048 and 3.8288 Å, with angles of 90.00, 90.00 and 120.00 degrees. The asymmetric unit holds Li at (0.0000, 0.0000, 0.0000), Sm at (0.6667, 0.3333, 0.5000) and Pt at (0.3333, 0.6667, 0.0000).

***

Entry 4:
Here is a relaxed structure of Ac2Pm8Sm3 from Alexandria. Energies are from GGA-PBE.

Its total energy is -4.38 eV/atom. The value obtained for the magnetization is 0.00 μB per formula unit. Its formation energy from the elements is 0.26 eV/atom. Its density of states at the Fermi level is 1.645 states/eV per atom. As for the polymorph energy (0 for the lowest one): 85 meV per atom.

The space group is R-3m (No. 166, hexagonal axes) and the conventional cell measures 6.7054, 6.7054 and 37.5302 Å, with angles of 90.00, 90.00 and 120.00 degrees. The asymmetric unit holds Ac at (0.0000, 0.0000, 0.1397), Pm at (0.0000, 0.0000, 0.2272), Pm at (0.0006, 0.5003, 0.7206), Sm at (0.0000, 0.0000, 0.3123) and Sm at (0.0000, 0.0000, 0.5000).